The following is a DFT calculation (PBE) of a relaxed structure of BiPd4.

Lattice parameters (Å, degrees): 9.5524 9.5524 4.9424 90.00 90.00 90.00
With the nearest neighbours (Å) after each atom.
Atoms (fractional coordinates):
Bi  0.2215  0.2785  0.0000  6 Pd 2.91-2.99
Bi  0.2785  0.7785  0.0000  6 Pd 2.91-2.99
Bi  0.7215  0.2215  0.0000  6 Pd 2.91-2.99
Bi  0.7785  0.7215  0.0000  6 Pd 2.91-2.99
Pd  0.0000  0.0000  0.2389  6 Pd 2.36-2.58
Pd  0.0000  0.0000  0.7611  6 Pd 2.36-2.58
Pd  0.1033  0.7897  0.5000  4 Pd 2.52-2.66
Pd  0.1072  0.3928  0.5000  5 Pd 2.66-2.94, 2 Bi 2.91
Pd  0.2103  0.1033  0.5000  4 Pd 2.52-2.66
Pd  0.2897  0.6033  0.5000  4 Pd 2.52-2.66
Pd  0.3928  0.8928  0.5000  5 Pd 2.66-2.94, 2 Bi 2.91
Pd  0.3967  0.2897  0.5000  4 Pd 2.52-2.66
Pd  0.5000  0.5000  0.2389  6 Pd 2.36-2.58
Pd  0.5000  0.5000  0.7611  6 Pd 2.36-2.58
Pd  0.6033  0.7103  0.5000  4 Pd 2.52-2.66
Pd  0.6072  0.1072  0.5000  5 Pd 2.66-2.94, 2 Bi 2.91
Pd  0.7103  0.3967  0.5000  4 Pd 2.52-2.66
Pd  0.7897  0.8967  0.5000  4 Pd 2.52-2.66
Pd  0.8928  0.6072  0.5000  5 Pd 2.66-2.94, 2 Bi 2.91
Pd  0.8967  0.2103  0.5000  4 Pd 2.52-2.66

Results
- distance to the lowest polymorph of the same formula (meV/atom) = 481
- total moment (Bohr magnetons per cell) = 0.00
- symmetry = No. 127
- energy of formation (meV per atom) = 341.3
- Fermi-level density of states (states/eV per atom) = 1.121

***

The following is a DFT calculation (PBE) of a relaxed structure of Hg5Ge3Pb12.

Lattice parameters (Å, degrees): 15.4018 15.4018 15.4018 109.47 109.47 109.47
With the nearest neighbours (Å) after each atom.
Atoms (fractional coordinates):
Hg  0.0000  0.0000  0.0000  6 Pb 3.07
Hg  0.0000  0.0000  0.5000  6 Pb 3.07
Hg  0.0000  0.5000  0.0000  6 Pb 3.07
Hg  0.0000  0.5000  0.5000  6 Pb 3.07
Hg  0.1250  0.7500  0.8750  4 Pb 3.08
Hg  0.1250  0.8750  0.2500  4 Pb 3.08
Hg  0.2500  0.1250  0.8750  4 Pb 3.08
Hg  0.2500  0.6250  0.3750  4 Pb 3.08
Hg  0.3750  0.2500  0.6250  4 Pb 3.08
Hg  0.3750  0.6250  0.7500  4 Pb 3.08
Hg  0.5000  0.0000  0.0000  6 Pb 3.07
Hg  0.5000  0.0000  0.5000  6 Pb 3.07
Hg  0.5000  0.5000  0.0000  6 Pb 3.07
Hg  0.5000  0.5000  0.5000  6 Pb 3.07
Hg  0.6250  0.3750  0.2500  4 Pb 3.08
Hg  0.6250  0.7500  0.3750  4 Pb 3.08
Hg  0.7500  0.3750  0.6250  4 Pb 3.08
Hg  0.7500  0.8750  0.1250  4 Pb 3.08
Hg  0.8750  0.1250  0.7500  4 Pb 3.08
Hg  0.8750  0.2500  0.1250  4 Pb 3.08
Ge  0.1250  0.2500  0.3750  4 Pb 2.96
Ge  0.1250  0.3750  0.7500  4 Pb 2.96
Ge  0.2500  0.3750  0.1250  4 Pb 2.96
Ge  0.2500  0.8750  0.6250  4 Pb 2.96
Ge  0.3750  0.1250  0.2500  4 Pb 2.96
Ge  0.3750  0.7500  0.1250  4 Pb 2.96
Ge  0.6250  0.2500  0.8750  4 Pb 2.96
Ge  0.6250  0.8750  0.7500  4 Pb 2.96
Ge  0.7500  0.1250  0.3750  4 Pb 2.96
Ge  0.7500  0.6250  0.8750  4 Pb 2.96
Ge  0.8750  0.6250  0.2500  4 Pb 2.96
Ge  0.8750  0.7500  0.6250  4 Pb 2.96
Pb  0.0626  0.6343  0.3995  1 Ge 2.96, 2 Hg 3.07-3.08, 1 Pb 3.22
Pb  0.0626  0.9283  0.6631  1 Ge 2.96, 2 Hg 3.07-3.08, 1 Pb 3.22
Pb  0.0717  0.2348  0.1343  1 Ge 2.96, 2 Hg 3.07-3.08, 1 Pb 3.22
Pb  0.0717  0.3369  0.9374  1 Ge 2.96, 2 Hg 3.07-3.08, 1 Pb 3.22
Pb  0.1005  0.7348  0.6631  1 Ge 2.96, 2 Hg 3.07-3.08, 1 Pb 3.22
Pb  0.1005  0.8657  0.4374  1 Ge 2.96, 2 Hg 3.07-3.08, 1 Pb 3.22
Pb  0.1343  0.0717  0.2348  1 Ge 2.96, 2 Hg 3.07-3.08, 1 Pb 3.22
Pb  0.1343  0.5626  0.8995  1 Ge 2.96, 2 Hg 3.07-3.08, 1 Pb 3.22
Pb  0.1631  0.2348  0.6005  1 Ge 2.96, 2 Hg 3.07-3.08, 1 Pb 3.22
Pb  0.1631  0.4283  0.5626  1 Ge 2.96, 2 Hg 3.07-3.08, 1 Pb 3.22
Pb  0.2348  0.1343  0.0717  1 Ge 2.96, 2 Hg 3.07-3.08, 1 Pb 3.22
Pb  0.2348  0.6005  0.1631  1 Ge 2.96, 2 Hg 3.07-3.08, 1 Pb 3.22
Pb  0.2652  0.3369  0.8995  1 Ge 2.96, 2 Hg 3.07-3.08, 1 Pb 3.22
Pb  0.2652  0.4283  0.3657  1 Ge 2.96, 2 Hg 3.07-3.08, 1 Pb 3.22
Pb  0.3369  0.8995  0.2652  1 Ge 2.96, 2 Hg 3.07-3.08, 1 Pb 3.22
Pb  0.3369  0.9374  0.0717  1 Ge 2.96, 2 Hg 3.07-3.08, 1 Pb 3.22
Pb  0.3657  0.2652  0.4283  1 Ge 2.96, 2 Hg 3.07-3.08, 1 Pb 3.22
Pb  0.3657  0.6005  0.9374  1 Ge 2.96, 2 Hg 3.07-3.08, 1 Pb 3.22
Pb  0.3995  0.0626  0.6343  1 Ge 2.96, 2 Hg 3.07-3.08, 1 Pb 3.22
Pb  0.3995  0.8369  0.7652  1 Ge 2.96, 2 Hg 3.07-3.08, 1 Pb 3.22
Pb  0.4283  0.3657  0.2652  1 Ge 2.96, 2 Hg 3.07-3.08, 1 Pb 3.22
Pb  0.4283  0.5626  0.1631  1 Ge 2.96, 2 Hg 3.07-3.08, 1 Pb 3.22
Pb  0.4374  0.1005  0.8657  1 Ge 2.96, 2 Hg 3.07-3.08, 1 Pb 3.22
Pb  0.4374  0.8369  0.5717  1 Ge 2.96, 2 Hg 3.07-3.08, 1 Pb 3.22
Pb  0.5626  0.1631  0.4283  1 Ge 2.96, 2 Hg 3.07-3.08, 1 Pb 3.22
Pb  0.5626  0.8995  0.1343  1 Ge 2.96, 2 Hg 3.07-3.08, 1 Pb 3.22
Pb  0.5717  0.4374  0.8369  1 Ge 2.96, 2 Hg 3.07-3.08, 1 Pb 3.22
Pb  0.5717  0.6343  0.7348  1 Ge 2.96, 2 Hg 3.07-3.08, 1 Pb 3.22
Pb  0.6005  0.1631  0.2348  1 Ge 2.96, 2 Hg 3.07-3.08, 1 Pb 3.22
Pb  0.6005  0.9374  0.3657  1 Ge 2.96, 2 Hg 3.07-3.08, 1 Pb 3.22
Pb  0.6343  0.3995  0.0626  1 Ge 2.96, 2 Hg 3.07-3.08, 1 Pb 3.22
Pb  0.6343  0.7348  0.5717  1 Ge 2.96, 2 Hg 3.07-3.08, 1 Pb 3.22
Pb  0.6631  0.0626  0.9283  1 Ge 2.96, 2 Hg 3.07-3.08, 1 Pb 3.22
Pb  0.6631  0.1005  0.7348  1 Ge 2.96, 2 Hg 3.07-3.08, 1 Pb 3.22
Pb  0.7348  0.5717  0.6343  1 Ge 2.96, 2 Hg 3.07-3.08, 1 Pb 3.22
Pb  0.7348  0.6631  0.1005  1 Ge 2.96, 2 Hg 3.07-3.08, 1 Pb 3.22
Pb  0.7652  0.3995  0.8369  1 Ge 2.96, 2 Hg 3.07-3.08, 1 Pb 3.22
Pb  0.7652  0.8657  0.9283  1 Ge 2.96, 2 Hg 3.07-3.08, 1 Pb 3.22
Pb  0.8369  0.5717  0.4374  1 Ge 2.96, 2 Hg 3.07-3.08, 1 Pb 3.22
Pb  0.8369  0.7652  0.3995  1 Ge 2.96, 2 Hg 3.07-3.08, 1 Pb 3.22
Pb  0.8657  0.4374  0.1005  1 Ge 2.96, 2 Hg 3.07-3.08, 1 Pb 3.22
Pb  0.8657  0.9283  0.7652  1 Ge 2.96, 2 Hg 3.07-3.08, 1 Pb 3.22
Pb  0.8995  0.1343  0.5626  1 Ge 2.96, 2 Hg 3.07-3.08, 1 Pb 3.22
Pb  0.8995  0.2652  0.3369  1 Ge 2.96, 2 Hg 3.07-3.08, 1 Pb 3.22
Pb  0.9283  0.6631  0.0626  1 Ge 2.96, 2 Hg 3.07-3.08, 1 Pb 3.22
Pb  0.9283  0.7652  0.8657  1 Ge 2.96, 2 Hg 3.07-3.08, 1 Pb 3.22
Pb  0.9374  0.0717  0.3369  1 Ge 2.96, 2 Hg 3.07-3.08, 1 Pb 3.22
Pb  0.9374  0.3657  0.6005  1 Ge 2.96, 2 Hg 3.07-3.08, 1 Pb 3.22

Results
- total moment (Bohr magnetons per cell) = 0.00
- symmetry = No. 230
- energy of formation (meV per atom) = 209.5
- Fermi-level density of states (states/eV per atom) = 0.458